[1]
Material: CoSBr3
Method: DFT, PBE
State: relaxed

a = 4.856 Å, b = 4.856 Å, c = 4.856 Å
α = 90.00°, β = 90.00°, γ = 90.00°
Space group Pm-3m (No. 221)
Symmetry-distinct sites (fractional):
Co 0.000 0.000 0.000
S 0.500 0.500 0.500
Br 0.000 0.000 0.500

Calculated values
Calculated density: 4.80 Mg/m³
Energy relative to the elements, uncorrected: 528 meV per atom
E_tot: -0.200 Ry per atom
M_tot: 1.91 μB per formula unit
Volume: 115 Å³/cell

[2]
Material: CoSBr
Method: DFT, PBE
State: relaxed

a = 5.813 Å, b = 3.356 Å, c = 6.823 Å
α = 90.00°, β = 105.21°, γ = 90.00°
Space group Cm (No. 8)
Symmetry-distinct sites (fractional):
Co 0.000 0.000 0.000
S 0.218 0.500 0.168
Br 0.260 0.000 0.763

Calculated values
Calculated density: 4.42 Mg/m³
Energy relative to the elements, uncorrected: -309 meV per atom
E_tot: -0.339 Ry per atom
M_tot: 0.00 μB per formula unit
Volume: 128 Å³/cell

[3]
Material: Co2SBr
Method: DFT, PBE
State: relaxed

a = 6.025 Å, b = 6.025 Å, c = 6.025 Å
α = 90.00°, β = 90.00°, γ = 90.00°
Space group Fm-3m (No. 225)
Symmetry-distinct sites (fractional):
Co 0.250 0.250 0.250
S 0.000 0.000 0.000
Br 0.000 0.000 0.500

Calculated values
Calculated density: 6.98 Mg/m³
Energy relative to the elements, uncorrected: 619 meV per atom
E_tot: -0.322 Ry per atom
M_tot: 1.50 μB per formula unit
Volume: 219 Å³/cell

[4]
Material: CoSBr
Method: DFT, PBE
State: relaxed

a = 4.819 Å, b = 5.326 Å, c = 6.839 Å
α = 110.90°, β = 100.63°, γ = 90.08°
Space group P-1 (No. 2)
Symmetry-distinct sites (fractional):
Co 0.000 0.229 0.000
S 0.296 0.948 0.885
Br 0.233 0.627 0.276

Calculated values
Calculated density: 3.53 Mg/m³
Energy relative to the elements, uncorrected: -223 meV per atom
E_tot: -0.333 Ry per atom
M_tot: 1.22 μB per formula unit
Volume: 161 Å³/cell

[5]
Material: Co2S2Br
Method: DFT, PBE
State: relaxed

a = 3.520 Å, b = 3.520 Å, c = 14.833 Å
α = 90.00°, β = 90.00°, γ = 90.00°
Space group I4/mmm (No. 139)
Symmetry-distinct sites (fractional):
Co 0.000 0.500 0.250
S 0.000 0.000 0.163
Br 0.000 0.000 0.500

Calculated values
Calculated density: 4.73 Mg/m³
Energy relative to the elements, uncorrected: -295 meV per atom
E_tot: -0.377 Ry per atom
M_tot: 0.00 μB per formula unit
Volume: 184 Å³/cell

[6]
Material: Co2S2Br
Method: DFT, PBE
State: relaxed

a = 7.059 Å, b = 7.059 Å, c = 3.071 Å
α = 90.00°, β = 90.00°, γ = 90.00°
Space group P4/mbm (No. 127)
Symmetry-distinct sites (fractional):
Co 0.119 0.381 0.000
S 0.127 0.627 0.500
Br 0.000 0.000 0.000

Calculated values
Calculated density: 5.68 Mg/m³
Energy relative to the elements, uncorrected: 232 meV per atom
E_tot: -0.338 Ry per atom
M_tot: 0.00 μB per formula unit
Volume: 153 Å³/cell

[7]
Material: CoSBr
Method: DFT, PBE
State: relaxed

a = 16.693 Å, b = 3.336 Å, c = 5.275 Å
α = 90.00°, β = 92.22°, γ = 90.00°
Space group Cm (No. 8)
Symmetry-distinct sites (fractional):
Co 0.000 0.000 0.000
Co 0.123 0.500 0.519
S 0.028 0.500 0.244
S 0.097 0.000 0.748
Br 0.237 0.500 0.301
Br 0.411 0.000 0.806

Calculated values
Calculated density: 3.87 Mg/m³
Energy relative to the elements, uncorrected: -259 meV per atom
E_tot: -0.335 Ry per atom
M_tot: 0.15 μB per formula unit
Volume: 294 Å³/cell

[8]
Material: Co2SBr
Method: DFT, PBE
State: relaxed

a = 5.290 Å, b = 5.290 Å, c = 10.509 Å
α = 90.00°, β = 90.00°, γ = 90.00°
Space group I-42d (No. 122)
Symmetry-distinct sites (fractional):
Co 0.198 0.250 0.125
S 0.000 0.000 0.000
Br 0.000 0.000 0.500

Calculated values
Calculated density: 5.19 Mg/m³
Energy relative to the elements, uncorrected: -17 meV per atom
E_tot: -0.369 Ry per atom
M_tot: 2.89 μB per formula unit
Volume: 294 Å³/cell

[9]
Material: CoSBr3
Method: DFT, PBE
State: relaxed

a = 5.161 Å, b = 5.161 Å, c = 5.161 Å
α = 90.00°, β = 90.00°, γ = 90.00°
Space group Pm-3m (No. 221)
Symmetry-distinct sites (fractional):
Co 0.000 0.000 0.000
S 0.500 0.500 0.500
Br 0.000 0.500 0.500

Calculated values
Calculated density: 3.99 Mg/m³
Energy relative to the elements, uncorrected: 799 meV per atom
E_tot: -0.180 Ry per atom
M_tot: 2.45 μB per formula unit
Volume: 137 Å³/cell

[10]
Material: CoSBr
Method: DFT, PBE
State: relaxed

a = 3.3567 Å, b = 3.3567 Å, c = 6.6317 Å
α = 90.00°, β = 90.00°, γ = 120.00°
Space group P3m1 (No. 156)
Symmetry-distinct sites (fractional):
Co 0.0000 0.0000 0.0000
S 0.6667 0.3333 0.8332
Br 0.3333 0.6667 0.2354

Calculated values
Calculated density: 4.39 Mg/m³
Energy relative to the elements, uncorrected: -308 meV per atom
E_tot: -0.339 Ry per atom
M_tot: 0.00 μB per formula unit
Volume: 65 Å³/cell

[11]
Material: CoSBr
Method: DFT, PBE
State: relaxed

a = 3.269 Å, b = 5.613 Å, c = 8.107 Å
α = 81.49°, β = 89.89°, γ = 89.93°
Space group P-1 (No. 2)
Symmetry-distinct sites (fractional):
Co 0.249 0.474 0.133
S 0.251 0.270 0.926
Br 0.251 0.739 0.676

Calculated values
Calculated density: 3.86 Mg/m³
Energy relative to the elements, uncorrected: -277 meV per atom
E_tot: -0.337 Ry per atom
M_tot: 0.82 μB per formula unit
Volume: 147 Å³/cell

[12]
Material: Co2S2Br
Method: DFT, PBE
State: relaxed

a = 3.916 Å, b = 3.916 Å, c = 12.025 Å
α = 90.00°, β = 90.00°, γ = 90.00°
Space group I4/mmm (No. 139)
Symmetry-distinct sites (fractional):
Co 0.000 0.000 0.166
S 0.000 0.500 0.250
Br 0.000 0.000 0.500

Calculated values
Calculated density: 4.72 Mg/m³
Energy relative to the elements, uncorrected: 106 meV per atom
E_tot: -0.347 Ry per atom
M_tot: 0.00 μB per formula unit
Volume: 184 Å³/cell